1.
Computed, not measured: an optimized crystal structure of LiTl2GaBi2 at the PBE level of DFT.

The structure belongs to space group Ibam (No. 72); the cell edges are 6.672, 15.476 and 6.898 Å and the angles 90.00°, 90.00° and 90.00°. Symmetry generates all atoms from Li at (0.000, 0.000, 0.250), Tl at (0.232, 0.168, 0.000), Ga at (0.000, 0.500, 0.250) and Bi at (0.231, 0.387, 0.000).

Its raw total energy is -3.026 eV/atom. The calculation puts the energy relative to the elements at -0.120 eV per atom. The total magnetization comes out at 0.0 μB/cell.

---

2.
Computed, not measured: an optimized crystal structure of LiTlGaBi at the PBE level of DFT.

The structure belongs to space group F-43m (No. 216); the cell edges are 7.392, 7.392 and 7.392 Å and the angles 90.00°, 90.00° and 90.00°. Symmetry generates all atoms from Li at (0.000, 0.000, 0.000), Tl at (0.250, 0.250, 0.250), Ga at (0.000, 0.000, 0.500) and Bi at (0.250, 0.250, 0.750).

Its raw total energy is -2.933 eV/atom. The calculation puts the energy relative to the elements at -0.136 eV per atom. The total magnetization comes out at 0.0 μB/cell.

---

3.
Computed, not measured: an optimized crystal structure of LiTmGaBi at the PBE level of DFT.

The structure belongs to space group F-43m (No. 216); the cell edges are 7.259, 7.259 and 7.259 Å and the angles 90.00°, 90.00° and 90.00°. Symmetry generates all atoms from Li at (0.000, 0.000, 0.000), Tm at (0.000, 0.000, 0.500), Ga at (0.250, 0.250, 0.750) and Bi at (0.250, 0.250, 0.250).

Its raw total energy is -3.658 eV/atom. The calculation puts the energy relative to the elements at -0.335 eV per atom. The total magnetization comes out at 0.0 μB/cell.